Run w
# SrY3Se (PBE, optimized geometry)
data_SrY3Se
_cell_length_a 5.578
_cell_length_b 5.578
_cell_length_c 5.578
_cell_angle_alpha 90.00
_cell_angle_beta 90.00
_cell_angle_gamma 90.00
_space_group_name_H-M_alt 'P m -3 m'
_space_group_IT_number 221
_space_group_name_Hall '-P 4 2 3'
loop_
_atom_site_label
_atom_site_fract_x
_atom_site_fract_y
_atom_site_fract_z
Sr1 0.000 0.000 0.000
Y1 0.000 0.500 0.500
Se1 0.500 0.500 0.500
# - Volume: 34.7 Å³/atom

Run x
# SrY3Se (PBE, optimized geometry)
data_SrY3Se
_cell_length_a 5.637
_cell_length_b 5.637
_cell_length_c 5.637
_cell_angle_alpha 90.00
_cell_angle_beta 90.00
_cell_angle_gamma 90.00
_space_group_name_H-M_alt 'P m -3 m'
_space_group_IT_number 221
_space_group_name_Hall '-P 4 2 3'
loop_
_atom_site_label
_atom_site_fract_x
_atom_site_fract_y
_atom_site_fract_z
Sr1 0.000 0.000 0.000
Y1 0.000 0.000 0.500
Se1 0.500 0.500 0.500
# - Volume: 35.8 Å³/atom

Quick one: least stable of them? run x

Run w
# SrYSe2 (PBE, optimized geometry)
data_SrYSe2
_cell_length_a 6.737
_cell_length_b 6.737
_cell_length_c 13.125
_cell_angle_alpha 90.00
_cell_angle_beta 90.00
_cell_angle_gamma 90.00
_space_group_name_H-M_alt 'I -4 2 d'
_space_group_IT_number 122
_space_group_name_Hall 'I -4 2bw'
loop_
_atom_site_label
_atom_site_fract_x
_atom_site_fract_y
_atom_site_fract_z
Sr1 0.000 0.000 0.000
Y1 0.000 0.000 0.500
Se1 0.220 0.250 0.625
# - Volume: 37.2 Å³/atom

Run x
# SrYSe2 (PBE, optimized geometry)
data_SrYSe2
_cell_length_a 3.660
_cell_length_b 3.662
_cell_length_c 7.431
_cell_angle_alpha 90.00
_cell_angle_beta 90.10
_cell_angle_gamma 90.00
_space_group_name_H-M_alt 'P 1 2/m 1'
_space_group_IT_number 10
loop_
_space_group_symop_operation_xyz
'x,y,z'
'-x,-y,-z'
'-x,y,-z'
'x,-y,z'
loop_
_atom_site_label
_atom_site_fract_x
_atom_site_fract_y
_atom_site_fract_z
Sr1 0.000 0.000 0.000
Y1 0.000 0.000 0.500
Se1 0.499 0.500 0.269
# - Volume: 24.9 Å³/atom

Run y
# SrYSe2 (PBE, optimized geometry)
data_SrYSe2
_cell_length_a 4.337
_cell_length_b 4.070
_cell_length_c 12.696
_cell_angle_alpha 90.00
_cell_angle_beta 90.00
_cell_angle_gamma 90.00
_space_group_name_H-M_alt 'A m m 2'
_space_group_IT_number 38
loop_
_space_group_symop_operation_xyz
'x,y,z'
'-x,-y,z'
'-x,y,z'
'x,-y,z'
'x,y+1/2,z+1/2'
'-x,-y+1/2,z+1/2'
'-x,y+1/2,z+1/2'
'x,-y+1/2,z+1/2'
loop_
_atom_site_label
_atom_site_fract_x
_atom_site_fract_y
_atom_site_fract_z
Sr1 0.000 0.000 0.000
Y1 0.500 0.000 0.723
Se1 0.000 0.000 0.246
Se2 0.500 0.000 0.501
# - Volume: 28.0 Å³/atom

Run z
# SrYSe2 (PBE, optimized geometry)
data_SrYSe2
_cell_length_a 4.148
_cell_length_b 4.148
_cell_length_c 13.885
_cell_angle_alpha 90.00
_cell_angle_beta 90.00
_cell_angle_gamma 90.00
_space_group_name_H-M_alt 'I -4 m 2'
_space_group_IT_number 119
_space_group_name_Hall 'I -4 -2'
loop_
_atom_site_label
_atom_site_fract_x
_atom_site_fract_y
_atom_site_fract_z
Sr1 0.000 0.000 0.000
Y1 0.000 0.500 0.750
Se1 0.000 0.000 0.500
Se2 0.000 0.500 0.250
# - Volume: 29.9 Å³/atom

Quick one: least stable of them? run z

Run w
# SrYSe2 (PBE, optimized geometry)
data_SrYSe2
_cell_length_a 7.358
_cell_length_b 7.358
_cell_length_c 7.358
_cell_angle_alpha 90.00
_cell_angle_beta 90.00
_cell_angle_gamma 90.00
_space_group_name_H-M_alt 'F m -3 m'
_space_group_IT_number 225
_space_group_name_Hall '-F 4 2 3'
loop_
_atom_site_label
_atom_site_fract_x
_atom_site_fract_y
_atom_site_fract_z
Sr1 0.000 0.000 0.000
Y1 0.000 0.000 0.500
Se1 0.250 0.250 0.250
# - Volume: 24.9 Å³/atom

Run x
# SrYSe2 (PBE, optimized geometry)
data_SrYSe2
_cell_length_a 4.245
_cell_length_b 4.245
_cell_length_c 6.000
_cell_angle_alpha 90.00
_cell_angle_beta 90.00
_cell_angle_gamma 90.00
_space_group_name_H-M_alt 'P 4/m m m'
_space_group_IT_number 123
_space_group_name_Hall '-P 4 2'
loop_
_atom_site_label
_atom_site_fract_x
_atom_site_fract_y
_atom_site_fract_z
Sr1 0.000 0.000 0.000
Y1 0.500 0.500 0.500
Se1 0.000 0.000 0.500
Se2 0.500 0.500 0.000
# - Volume: 27.0 Å³/atom

Quick one: least stable of them? run w

Run w
# SrYSe2 (PBE, optimized geometry)
data_SrYSe2
_cell_length_a 4.5369
_cell_length_b 4.5369
_cell_length_c 25.8509
_cell_angle_alpha 90.00
_cell_angle_beta 90.00
_cell_angle_gamma 120.00
_space_group_name_H-M_alt 'R -3 m'
_space_group_IT_number 166
_space_group_name_Hall '-R 3 2"'
loop_
_atom_site_label
_atom_site_fract_x
_atom_site_fract_y
_atom_site_fract_z
Sr1 0.0000 0.0000 0.0000
Y1 0.0000 0.0000 0.5000
Se1 0.0000 0.0000 0.3980
# - Volume: 38.4 Å³/atom

Run x
# SrYSe2 (PBE, optimized geometry)
data_SrYSe2
_cell_length_a 4.1425
_cell_length_b 4.1425
_cell_length_c 22.1662
_cell_angle_alpha 90.00
_cell_angle_beta 90.00
_cell_angle_gamma 120.00
_space_group_name_H-M_alt 'R 3 m'
_space_group_IT_number 160
_space_group_name_Hall 'R 3 -2"'
loop_
_atom_site_label
_atom_site_fract_x
_atom_site_fract_y
_atom_site_fract_z
Sr1 0.0000 0.0000 0.0000
Y1 0.0000 0.0000 0.1740
Se1 0.0000 0.0000 0.5802
Se2 0.0000 0.0000 0.7619
# - Volume: 27.5 Å³/atom

Quick one: least stable of them? run w

Run w
# SrYSe (PBE, optimized geometry)
data_SrYSe
_cell_length_a 4.0507
_cell_length_b 4.0507
_cell_length_c 6.9886
_cell_angle_alpha 90.00
_cell_angle_beta 90.00
_cell_angle_gamma 120.00
_space_group_name_H-M_alt 'P 3 m 1'
_space_group_IT_number 156
loop_
_space_group_symop_operation_xyz
'x,y,z'
'-y,x-y,z'
'-x+y,-x,z'
'-y,-x,z'
'-x+y,y,z'
'x,x-y,z'
loop_
_atom_site_label
_atom_site_fract_x
_atom_site_fract_y
_atom_site_fract_z
Sr1 0.0000 0.0000 0.0000
Y1 0.6667 0.3333 0.4658
Se1 0.3333 0.6667 0.7080
# - Volume: 33.1 Å³/atom

Run x
# SrYSe (PBE, optimized geometry)
data_SrYSe
_cell_length_a 3.709
_cell_length_b 3.709
_cell_length_c 13.415
_cell_angle_alpha 90.00
_cell_angle_beta 90.00
_cell_angle_gamma 90.00
_space_group_name_H-M_alt 'I 4 m m'
_space_group_IT_number 107
_space_group_name_Hall 'I 4 -2'
loop_
_atom_site_label
_atom_site_fract_x
_atom_site_fract_y
_atom_site_fract_z
Sr1 0.000 0.000 0.000
Y1 0.000 0.000 0.273
Se1 0.000 0.000 0.659
# - Volume: 30.8 Å³/atom

Run y
# SrYSe (PBE, optimized geometry)
data_SrYSe
_cell_length_a 7.127
_cell_length_b 7.127
_cell_length_c 7.127
_cell_angle_alpha 90.00
_cell_angle_beta 90.00
_cell_angle_gamma 90.00
_space_group_name_H-M_alt 'F -4 3 m'
_space_group_IT_number 216
_space_group_name_Hall 'F -4 2 3'
loop_
_atom_site_label
_atom_site_fract_x
_atom_site_fract_y
_atom_site_fract_z
Sr1 0.000 0.000 0.000
Y1 0.000 0.000 0.500
Se1 0.250 0.250 0.250
# - Volume: 30.2 Å³/atom

Quick one: least stable of them? run y

Run w
# SrY2Se4 (PBE, optimized geometry)
data_SrY2Se4
_cell_length_a 4.143
_cell_length_b 13.593
_cell_length_c 14.107
_cell_angle_alpha 90.00
_cell_angle_beta 90.00
_cell_angle_gamma 90.00
_space_group_name_H-M_alt 'C m c m'
_space_group_IT_number 63
_space_group_name_Hall '-C 2c 2'
loop_
_atom_site_label
_atom_site_fract_x
_atom_site_fract_y
_atom_site_fract_z
Sr1 0.000 0.111 0.250
Y1 0.000 0.365 0.069
Se1 0.000 0.000 0.000
Se2 0.000 0.271 0.616
Se3 0.000 0.448 0.250
# - Volume: 28.4 Å³/atom

Run x
# SrY2Se4 (PBE, optimized geometry)
data_SrY2Se4
_cell_length_a 12.652
_cell_length_b 4.158
_cell_length_c 15.032
_cell_angle_alpha 90.00
_cell_angle_beta 90.00
_cell_angle_gamma 90.00
_space_group_name_H-M_alt 'P n m a'
_space_group_IT_number 62
loop_
_space_group_symop_operation_xyz
'x,y,z'
'-x,-y,-z'
'-x+1/2,-y,z+1/2'
'x+1/2,y,-z+1/2'
'x+1/2,-y+1/2,-z+1/2'
'-x+1/2,y+1/2,z+1/2'
'-x,y+1/2,-z'
'x,-y+1/2,z'
loop_
_atom_site_label
_atom_site_fract_x
_atom_site_fract_y
_atom_site_fract_z
Sr1 0.240 0.250 0.166
Y1 0.063 0.250 0.389
Y2 0.083 0.250 0.902
Se1 0.027 0.750 0.784
Se2 0.091 0.250 0.578
Se3 0.130 0.750 0.031
Se4 0.205 0.750 0.327
# - Volume: 28.2 Å³/atom

Quick one: least stable of them? run w

Run w
# SrZrSe (PBE, optimized geometry)
data_SrZrSe
_cell_length_a 3.8096
_cell_length_b 3.8096
_cell_length_c 6.7292
_cell_angle_alpha 90.00
_cell_angle_beta 90.00
_cell_angle_gamma 120.00
_space_group_name_H-M_alt 'P 3 m 1'
_space_group_IT_number 156
loop_
_space_group_symop_operation_xyz
'x,y,z'
'-y,x-y,z'
'-x+y,-x,z'
'-y,-x,z'
'-x+y,y,z'
'x,x-y,z'
loop_
_atom_site_label
_atom_site_fract_x
_atom_site_fract_y
_atom_site_fract_z
Sr1 0.0000 0.0000 0.0000
Zr1 0.6667 0.3333 0.4472
Se1 0.3333 0.6667 0.6847
# - Volume: 28.2 Å³/atom

Run x
# SrZrSe (PBE, optimized geometry)
data_SrZrSe
_cell_length_a 4.6111
_cell_length_b 4.6111
_cell_length_c 4.8792
_cell_angle_alpha 90.00
_cell_angle_beta 90.00
_cell_angle_gamma 120.00
_space_group_name_H-M_alt 'P -6 m 2'
_space_group_IT_number 187
_space_group_name_Hall 'P -6 2'
loop_
_atom_site_label
_atom_site_fract_x
_atom_site_fract_y
_atom_site_fract_z
Sr1 0.0000 0.0000 0.0000
Zr1 0.6667 0.3333 0.5000
Se1 0.3333 0.6667 0.5000
# - Volume: 29.9 Å³/atom

Quick one: least stable of them? run x

Run w
# SrZrSe (PBE, optimized geometry)
data_SrZrSe
_cell_length_a 6.947
_cell_length_b 6.947
_cell_length_c 6.947
_cell_angle_alpha 90.00
_cell_angle_beta 90.00
_cell_angle_gamma 90.00
_space_group_name_H-M_alt 'F -4 3 m'
_space_group_IT_number 216
_space_group_name_Hall 'F -4 2 3'
loop_
_atom_site_label
_atom_site_fract_x
_atom_site_fract_y
_atom_site_fract_z
Sr1 0.000 0.000 0.000
Zr1 0.000 0.000 0.500
Se1 0.250 0.250 0.750
# - Volume: 27.9 Å³/atom

Run x
# SrZrSe (PBE, optimized geometry)
data_SrZrSe
_cell_length_a 7.412
_cell_length_b 7.412
_cell_length_c 7.412
_cell_angle_alpha 90.00
_cell_angle_beta 90.00
_cell_angle_gamma 90.00
_space_group_name_H-M_alt 'F -4 3 m'
_space_group_IT_number 216
_space_group_name_Hall 'F -4 2 3'
loop_
_atom_site_label
_atom_site_fract_x
_atom_site_fract_y
_atom_site_fract_z
Sr1 0.000 0.000 0.000
Zr1 0.250 0.250 0.250
Se1 0.250 0.250 0.750
# - Volume: 33.9 Å³/atom

Quick one: least stable of them? run x

Run w
# Ta5Se (PBE, optimized geometry)
data_Ta5Se
_cell_length_a 4.529
_cell_length_b 10.299
_cell_length_c 4.660
_cell_angle_alpha 90.00
_cell_angle_beta 90.00
_cell_angle_gamma 90.00
_space_group_name_H-M_alt 'C m m m'
_space_group_IT_number 65
_space_group_name_Hall '-C 2 2'
loop_
_atom_site_label
_atom_site_fract_x
_atom_site_fract_y
_atom_site_fract_z
Ta1 0.000 0.000 0.000
Ta2 0.000 0.155 0.500
Ta3 0.000 0.324 0.000
Se1 0.000 0.500 0.500
# - Volume: 18.1 Å³/atom

Run x
# Ta5Se (PBE, optimized geometry)
data_Ta5Se
_cell_length_a 7.730
_cell_length_b 7.730
_cell_length_c 7.730
_cell_angle_alpha 90.00
_cell_angle_beta 90.00
_cell_angle_gamma 90.00
_space_group_name_H-M_alt 'F -4 3 m'
_space_group_IT_number 216
_space_group_name_Hall 'F -4 2 3'
loop_
_atom_site_label
_atom_site_fract_x
_atom_site_fract_y
_atom_site_fract_z
Ta1 0.000 0.000 0.000
Ta2 0.126 0.126 0.626
Se1 0.250 0.250 0.250
# - Volume: 19.2 Å³/atom

Run y
# Ta5Se (PBE, optimized geometry)
data_Ta5Se
_cell_length_a 3.430
_cell_length_b 3.430
_cell_length_c 9.192
_cell_angle_alpha 90.00
_cell_angle_beta 90.00
_cell_angle_gamma 90.00
_space_group_name_H-M_alt 'P 4/m m m'
_space_group_IT_number 123
_space_group_name_Hall '-P 4 2'
loop_
_atom_site_label
_atom_site_fract_x
_atom_site_fract_y
_atom_site_fract_z
Ta1 0.000 0.000 0.000
Ta2 0.000 0.000 0.334
Ta3 0.500 0.500 0.173
Se1 0.500 0.500 0.500
# - Volume: 18.0 Å³/atom

Run z
# Ta5Se (PBE, optimized geometry)
data_Ta5Se
_cell_length_a 10.348
_cell_length_b 3.335
_cell_length_c 6.494
_cell_angle_alpha 90.00
_cell_angle_beta 102.20
_cell_angle_gamma 90.00
_space_group_name_H-M_alt 'C 1 m 1'
_space_group_IT_number 8
loop_
_space_group_symop_operation_xyz
'x,y,z'
'x,-y,z'
'x+1/2,y+1/2,z'
'x+1/2,-y+1/2,z'
loop_
_atom_site_label
_atom_site_fract_x
_atom_site_fract_y
_atom_site_fract_z
Ta1 0.000 0.000 0.000
Ta2 0.021 0.000 0.483
Ta3 0.174 0.500 0.819
Ta4 0.318 0.000 0.156
Ta5 0.358 0.000 0.675
Se1 0.206 0.500 0.393
# - Volume: 18.3 Å³/atom

Quick one: least stable of them? run x

Run w
# Ta4Se (PBE, optimized geometry)
data_Ta4Se
_cell_length_a 5.915
_cell_length_b 5.915
_cell_length_c 5.915
_cell_angle_alpha 90.00
_cell_angle_beta 90.00
_cell_angle_gamma 90.00
_space_group_name_H-M_alt 'I m -3 m'
_space_group_IT_number 229
_space_group_name_Hall '-I 4 2 3'
loop_
_atom_site_label
_atom_site_fract_x
_atom_site_fract_y
_atom_site_fract_z
Ta1 0.250 0.250 0.250
Se1 0.000 0.000 0.000
# - Volume: 20.7 Å³/atom

Run x
# Ta4Se (PBE, optimized geometry)
data_Ta4Se
_cell_length_a 4.682
_cell_length_b 4.682
_cell_length_c 4.682
_cell_angle_alpha 90.00
_cell_angle_beta 90.00
_cell_angle_gamma 90.00
_space_group_name_H-M_alt 'P m -3 m'
_space_group_IT_number 221
_space_group_name_Hall '-P 4 2 3'
loop_
_atom_site_label
_atom_site_fract_x
_atom_site_fract_y
_atom_site_fract_z
Ta1 0.000 0.000 0.000
Ta2 0.000 0.500 0.500
Se1 0.500 0.500 0.500
# - Volume: 20.5 Å³/atom

Run y
# Ta4Se (PBE, optimized geometry)
data_Ta4Se
_cell_length_a 3.634
_cell_length_b 3.634
_cell_length_c 15.118
_cell_angle_alpha 90.00
_cell_angle_beta 90.00
_cell_angle_gamma 90.00
_space_group_name_H-M_alt 'I 4/m m m'
_space_group_IT_number 139
_space_group_name_Hall '-I 4 2'
loop_
_atom_site_label
_atom_site_fract_x
_atom_site_fract_y
_atom_site_fract_z
Ta1 0.000 0.000 0.096
Ta2 0.000 0.500 0.250
Se1 0.000 0.000 0.500
# - Volume: 20.0 Å³/atom

Quick one: least stable of them? run x

Run w
# Ta4Se3 (PBE, optimized geometry)
data_Ta4Se3
_cell_length_a 5.3172
_cell_length_b 5.3172
_cell_length_c 5.2073
_cell_angle_alpha 90.00
_cell_angle_beta 90.00
_cell_angle_gamma 120.00
_space_group_name_H-M_alt 'P 6/m m m'
_space_group_IT_number 191
_space_group_name_Hall '-P 6 2'
loop_
_atom_site_label
_atom_site_fract_x
_atom_site_fract_y
_atom_site_fract_z
Ta1 0.0000 0.0000 0.2415
Ta2 0.3333 0.6667 0.0000
Se1 0.0000 0.5000 0.5000
# - Volume: 18.2 Å³/atom

Run x
# Ta4Se3 (PBE, optimized geometry)
data_Ta4Se3
_cell_length_a 3.339
_cell_length_b 3.339
_cell_length_c 23.480
_cell_angle_alpha 90.00
_cell_angle_beta 90.00
_cell_angle_gamma 90.00
_space_group_name_H-M_alt 'I 4/m m m'
_space_group_IT_number 139
_space_group_name_Hall '-I 4 2'
loop_
_atom_site_label
_atom_site_fract_x
_atom_site_fract_y
_atom_site_fract_z
Ta1 0.000 0.000 0.064
Ta2 0.000 0.000 0.360
Se1 0.000 0.000 0.193
Se2 0.000 0.000 0.500
# - Volume: 18.7 Å³/atom

Quick one: least stable of them? run w